First-principles (PBE) data for a geometry-optimized Ho2PuP structure, as listed in Alexandria via LeMat-Bulk.

Output
- Density of states at the Fermi level: 10.52 states/eV per cell
- SG: R-3m, No. 166
- Calculated formation energy: -0.39 eV/atom

CIF file:
```
data_Ho2PuP
_chemical_formula_sum 'Ho2 Pu1 P1'
_symmetry_space_group_name_H-M 'P 1'
_symmetry_Int_Tables_number 1
_symmetry_space_group_name_Hall 'P 1'
_cell_length_a 3.676
_cell_length_b 3.676
_cell_length_c 10.303
_cell_angle_alpha 79.72
_cell_angle_beta 79.72
_cell_angle_gamma 60.00
loop_
_atom_site_label
_atom_site_type_symbol
_atom_site_fract_x
_atom_site_fract_y
_atom_site_fract_z
Ho1 Ho 0.112 0.112 0.664
Pu1 Pu 0.000 0.000 0.000
P1 P 0.500 0.500 0.500
Ho2 Ho 0.888 0.888 0.336
```



First-principles (PBE) data for a geometry-optimized TaMo2As structure, as listed in Alexandria via LeMat-Bulk.

Output
- Density of states at the Fermi level: 3.33 states/eV per cell
- SG: P2/m, No. 10
- Calculated formation energy: 0.05 eV/atom

CIF file:
```
data_TaMo2As
_chemical_formula_sum 'Ta1 Mo2 As1'
_symmetry_space_group_name_H-M 'P 1'
_symmetry_Int_Tables_number 1
_symmetry_space_group_name_Hall 'P 1'
_cell_length_a 3.232
_cell_length_b 4.588
_cell_length_c 5.567
_cell_angle_alpha 51.95
_cell_angle_beta 90.00
_cell_angle_gamma 90.00
loop_
_atom_site_label
_atom_site_type_symbol
_atom_site_fract_x
_atom_site_fract_y
_atom_site_fract_z
As1 As 0.000 0.000 0.500
Ta1 Ta 0.500 0.500 0.500
Mo1 Mo 0.000 0.000 0.000
Mo2 Mo 0.500 0.500 0.000
```



First-principles (PBE) data for a geometry-optimized RbAgI2Cl6 structure, as listed in Alexandria via LeMat-Bulk.

Output
- Density of states at the Fermi level: 1.05 states/eV per cell
- Raw formation energy: -5.4 eV per formula unit
- SG: P-1, No. 2

CIF file:
```
data_RbAgI2Cl6
_chemical_formula_sum 'Rb1 Ag1 I2 Cl6'
_symmetry_space_group_name_H-M 'P 1'
_symmetry_Int_Tables_number 1
_symmetry_space_group_name_Hall 'P 1'
_cell_length_a 7.601
_cell_length_b 9.171
_cell_length_c 8.459
_cell_angle_alpha 81.27
_cell_angle_beta 122.06
_cell_angle_gamma 126.19
loop_
_atom_site_label
_atom_site_type_symbol
_atom_site_fract_x
_atom_site_fract_y
_atom_site_fract_z
I1 I 0.514 0.641 0.196
Cl1 Cl 0.437 0.117 0.151
Ag1 Ag 0.997 0.998 0.980
Rb1 Rb 0.996 0.498 0.480
Cl2 Cl 0.012 0.118 0.708
Cl3 Cl 0.867 0.598 0.758
Cl4 Cl 0.127 0.398 0.203
Cl5 Cl 0.981 0.878 0.252
I2 I 0.479 0.355 0.764
Cl6 Cl 0.556 0.879 0.810
```



First-principles (PBE) data for a geometry-optimized Ni3GeIr structure, as listed in Alexandria via LeMat-Bulk.

Output
- Density of states at the Fermi level: 6.46 states/eV per cell
- SG: Pm-3m, No. 221
- E above lowest polymorph: 1.018 eV per atom
- Calculated formation energy: 1.16 eV/atom

CIF file:
```
data_Ni3GeIr
_chemical_formula_sum 'Ni3 Ge1 Ir1'
_symmetry_space_group_name_H-M 'P 1'
_symmetry_Int_Tables_number 1
_symmetry_space_group_name_Hall 'P 1'
_cell_length_a 4.546
_cell_length_b 4.546
_cell_length_c 4.546
_cell_angle_alpha 90.00
_cell_angle_beta 90.00
_cell_angle_gamma 90.00
loop_
_atom_site_label
_atom_site_type_symbol
_atom_site_fract_x
_atom_site_fract_y
_atom_site_fract_z
Ni1 Ni 0.500 0.000 0.000
Ge1 Ge 0.500 0.500 0.500
Ni2 Ni 0.000 0.000 0.500
Ni3 Ni 0.000 0.500 0.000
Ir1 Ir 0.000 0.000 0.000
```



First-principles (PBE) data for a geometry-optimized PmSmMgCu structure, as listed in Alexandria via LeMat-Bulk.

Output
- Density of states at the Fermi level: 4.41 states/eV per cell
- SG: F-43m, No. 216
- Calculated formation energy: -0.05 eV/atom

CIF file:
```
data_PmSmMgCu
_chemical_formula_sum 'Pm1 Sm1 Mg1 Cu1'
_symmetry_space_group_name_H-M 'P 1'
_symmetry_Int_Tables_number 1
_symmetry_space_group_name_Hall 'P 1'
_cell_length_a 5.244
_cell_length_b 5.244
_cell_length_c 5.244
_cell_angle_alpha 60.00
_cell_angle_beta 60.00
_cell_angle_gamma 60.00
loop_
_atom_site_label
_atom_site_type_symbol
_atom_site_fract_x
_atom_site_fract_y
_atom_site_fract_z
Mg1 Mg 0.250 0.250 0.250
Cu1 Cu 0.750 0.750 0.750
Sm1 Sm 0.000 0.000 0.000
Pm1 Pm 0.500 0.500 0.500
```



First-principles (PBE) data for a geometry-optimized TbBF6 structure, as listed in Alexandria via LeMat-Bulk.

Output
- Density of states at the Fermi level: 0.00 states/eV per cell
- Raw formation energy: -24.8 eV per formula unit
- SG: R-3, No. 148

CIF file:
```
data_TbBF6
_chemical_formula_sum 'Tb1 B1 F6'
_symmetry_space_group_name_H-M 'P 1'
_symmetry_Int_Tables_number 1
_symmetry_space_group_name_Hall 'P 1'
_cell_length_a 5.061
_cell_length_b 5.061
_cell_length_c 5.306
_cell_angle_alpha 61.52
_cell_angle_beta 61.51
_cell_angle_gamma 59.97
loop_
_atom_site_label
_atom_site_type_symbol
_atom_site_fract_x
_atom_site_fract_y
_atom_site_fract_z
Tb1 Tb 0.500 0.500 0.500
F1 F 0.096 0.321 0.787
F2 F 0.904 0.679 0.213
B1 B 0.000 0.000 0.000
F3 F 0.796 0.096 0.787
F4 F 0.321 0.796 0.787
F5 F 0.204 0.904 0.213
F6 F 0.679 0.204 0.213
```



First-principles (PBE) data for a geometry-optimized GaFe3Co structure, as listed in Alexandria via LeMat-Bulk.

Output
- Density of states at the Fermi level: 7.54 states/eV per cell
- SG: P1, No. 1
- E above lowest polymorph: 0.000 eV per atom
- Calculated formation energy: -0.10 eV/atom

CIF file:
```
data_GaFe3Co
_chemical_formula_sum 'Ga2 Fe6 Co2'
_symmetry_space_group_name_H-M 'P 1'
_symmetry_Int_Tables_number 1
_symmetry_space_group_name_Hall 'P 1'
_cell_length_a 6.259
_cell_length_b 4.054
_cell_length_c 4.989
_cell_angle_alpha 90.21
_cell_angle_beta 81.92
_cell_angle_gamma 71.39
loop_
_atom_site_label
_atom_site_type_symbol
_atom_site_fract_x
_atom_site_fract_y
_atom_site_fract_z
Fe1 Fe 0.025 0.276 0.397
Fe2 Fe 0.234 0.672 0.197
Ga1 Ga 0.826 0.877 0.118
Fe3 Fe 0.835 0.871 0.608
Ga2 Ga 0.619 0.480 0.795
Co1 Co 0.221 0.679 0.696
Fe4 Fe 0.427 0.076 0.497
Fe5 Fe 0.417 0.080 0.003
Fe6 Fe 0.035 0.272 0.892
Co2 Co 0.618 0.481 0.306
```



First-principles (PBE) data for a geometry-optimized CaAgRhF6 structure, as listed in Alexandria via LeMat-Bulk.

Output
- Density of states at the Fermi level: 0.00 states/eV per cell
- Raw formation energy: -19.9 eV per formula unit
- SG: P4_2nm, No. 102

CIF file:
```
data_CaAgRhF6
_chemical_formula_sum 'Ca2 Ag2 Rh2 F12'
_symmetry_space_group_name_H-M 'P 1'
_symmetry_Int_Tables_number 1
_symmetry_space_group_name_Hall 'P 1'
_cell_length_a 5.185
_cell_length_b 5.185
_cell_length_c 10.412
_cell_angle_alpha 90.00
_cell_angle_beta 90.00
_cell_angle_gamma 90.00
loop_
_atom_site_label
_atom_site_type_symbol
_atom_site_fract_x
_atom_site_fract_y
_atom_site_fract_z
Ca1 Ca 0.500 0.500 0.170
F1 F 0.189 0.811 0.192
F2 F 0.311 0.311 0.692
F3 F 0.224 0.776 0.825
Ca2 Ca 0.000 0.000 0.670
Ag1 Ag 0.500 0.500 0.497
F4 F 0.776 0.224 0.825
F5 F 0.689 0.689 0.692
F6 F 0.824 0.176 0.483
F7 F 0.811 0.189 0.192
Rh1 Rh 0.500 0.500 0.833
F8 F 0.176 0.824 0.483
F9 F 0.724 0.724 0.325
F10 F 0.676 0.676 0.983
Rh2 Rh 0.000 0.000 0.333
Ag2 Ag 0.000 0.000 0.997
F11 F 0.324 0.324 0.983
F12 F 0.276 0.276 0.325
```



First-principles (PBE) data for a geometry-optimized Pa3Be2Ru7 structure, as listed in Alexandria via LeMat-Bulk.

Output
- Density of states at the Fermi level: 9.08 states/eV per cell
- SG: Cmmm, No. 65
- Calculated formation energy: -0.39 eV/atom

CIF file:
```
data_Pa3Be2Ru7
_chemical_formula_sum 'Pa3 Be2 Ru7'
_symmetry_space_group_name_H-M 'P 1'
_symmetry_Int_Tables_number 1
_symmetry_space_group_name_Hall 'P 1'
_cell_length_a 4.237
_cell_length_b 4.207
_cell_length_c 11.001
_cell_angle_alpha 90.00
_cell_angle_beta 101.10
_cell_angle_gamma 90.00
loop_
_atom_site_label
_atom_site_type_symbol
_atom_site_fract_x
_atom_site_fract_y
_atom_site_fract_z
Ru1 Ru 0.000 0.000 0.000
Pa1 Pa 0.686 0.500 0.371
Pa2 Pa 0.500 0.500 0.000
Ru2 Ru 0.204 0.000 0.408
Pa3 Pa 0.314 0.500 0.629
Ru3 Ru 0.904 0.500 0.809
Ru4 Ru 0.096 0.500 0.191
Ru5 Ru 0.796 0.000 0.592
Be1 Be 0.897 0.000 0.793
Ru6 Ru 0.596 0.000 0.192
Be2 Be 0.103 0.000 0.207
Ru7 Ru 0.404 0.000 0.808
```



First-principles (PBE) data for a geometry-optimized TiSbAu structure, as listed in Alexandria via LeMat-Bulk.

Output
- Density of states at the Fermi level: 0.69 states/eV per cell
- Raw formation energy: -0.6 eV per formula unit
- SG: P3m1, No. 156

CIF file:
```
data_TiSbAu
_chemical_formula_sum 'Ti1 Sb1 Au1'
_symmetry_space_group_name_H-M 'P 1'
_symmetry_Int_Tables_number 1
_symmetry_space_group_name_Hall 'P 1'
_cell_length_a 3.847
_cell_length_b 4.356
_cell_length_c 4.356
_cell_angle_alpha 120.00
_cell_angle_beta 90.00
_cell_angle_gamma 90.00
loop_
_atom_site_label
_atom_site_type_symbol
_atom_site_fract_x
_atom_site_fract_y
_atom_site_fract_z
Au1 Au 0.047 0.000 0.000
Ti1 Ti 0.254 0.333 0.667
Sb1 Sb 0.698 0.667 0.333
```



First-principles (PBE) data for a geometry-optimized Ba2LiAg structure, as listed in Alexandria via LeMat-Bulk.

Output
- Density of states at the Fermi level: 5.69 states/eV per cell
- SG: Fm-3m, No. 225
- E above lowest polymorph: 0.061 eV per atom
- Calculated formation energy: -0.08 eV/atom

CIF file:
```
data_Ba2LiAg
_chemical_formula_sum 'Ba2 Li1 Ag1'
_symmetry_space_group_name_H-M 'P 1'
_symmetry_Int_Tables_number 1
_symmetry_space_group_name_Hall 'P 1'
_cell_length_a 5.972
_cell_length_b 5.972
_cell_length_c 5.972
_cell_angle_alpha 60.00
_cell_angle_beta 60.00
_cell_angle_gamma 60.00
loop_
_atom_site_label
_atom_site_type_symbol
_atom_site_fract_x
_atom_site_fract_y
_atom_site_fract_z
Ba1 Ba 0.750 0.750 0.750
Li1 Li 0.000 0.000 0.000
Ba2 Ba 0.250 0.250 0.250
Ag1 Ag 0.500 0.500 0.500
```



What is the density of states at the Fermi level in the fourth record? 6.46 states/eV per cell



Which of these has the highest density of states at the Fermi level? Ho2PuP



What is the density of states at the Fermi level in the seventh record? 7.54 states/eV per cell



Please write out number 5 again, unchanged.
First-principles (PBE) data for a geometry-optimized PmSmMgCu structure, as listed in Alexandria via LeMat-Bulk.

Output
- Density of states at the Fermi level: 4.41 states/eV per cell
- SG: F-43m, No. 216
- Calculated formation energy: -0.05 eV/atom

CIF file:
```
data_PmSmMgCu
_chemical_formula_sum 'Pm1 Sm1 Mg1 Cu1'
_symmetry_space_group_name_H-M 'P 1'
_symmetry_Int_Tables_number 1
_symmetry_space_group_name_Hall 'P 1'
_cell_length_a 5.244
_cell_length_b 5.244
_cell_length_c 5.244
_cell_angle_alpha 60.00
_cell_angle_beta 60.00
_cell_angle_gamma 60.00
loop_
_atom_site_label
_atom_site_type_symbol
_atom_site_fract_x
_atom_site_fract_y
_atom_site_fract_z
Mg1 Mg 0.250 0.250 0.250
Cu1 Cu 0.750 0.750 0.750
Sm1 Sm 0.000 0.000 0.000
Pm1 Pm 0.500 0.500 0.500
```